BaSi3Ag after structural relaxation. Source: Alexandria, functional GGA-PBE.

Lattice parameters (Å, degrees): 5.6316 5.6316 5.6316 90.00 90.00 90.00
Element x y z (fractional)
Si1 0.0000 0.5000 0.0000
Si2 0.0000 0.0000 0.5000
Si3 0.5000 0.0000 0.0000
Ba1 0.0000 0.0000 0.0000
Ag1 0.5000 0.5000 0.5000

Calculated values
The calculation puts the raw formation energy at 1874 meV per atom. As for the space group: Pm-3m.